Below is an optimized crystal structure of Ba2NiW, with properties calculated at the PBE level.

Geometry as CIF:
```
data_Ba2NiW
_chemical_formula_sum 'Ba4 Ni2 W2'
_cell_length_a 4.085
_cell_length_b 5.319
_cell_length_c 10.154
_cell_angle_alpha 90.00
_cell_angle_beta 90.00
_cell_angle_gamma 90.00
_symmetry_space_group_name_H-M 'I m m m'
_symmetry_Int_Tables_number 71
_symmetry_space_group_name_Hall '-I 2 2'
loop_
_atom_site_label
_atom_site_fract_x
_atom_site_fract_y
_atom_site_fract_z
Ba1 0.000 0.000 0.209
Ni1 0.000 0.500 0.500
W1 0.000 0.500 0.000
```

## Properties
Size of the total moment ... 0.65 μB/atom
Calculated total energy ... -4.319 eV per atom